First-principles (PBE) data for an optimized crystal structure of SrHg2Ru2, as listed in Alexandria via LeMat-Bulk. Values from VASP.

Geometry as Quantum ESPRESSO input:
```
&SYSTEM
  ibrav = 0, nat = 5, ntyp = 3
/
ATOMIC_SPECIES
Ru 101.07 Ru.upf
Sr 87.62 Sr.upf
Hg 200.59 Hg.upf
ATOMIC_POSITIONS crystal
Ru 0.750 0.250 0.500
Ru 0.250 0.750 0.500
Sr 0.000 0.000 0.000
Hg 0.392 0.392 0.217
Hg 0.608 0.608 0.783
CELL_PARAMETERS angstrom
3.980 0.000 0.000
0.000 3.980 0.000
1.990 1.990 6.963
```

Values from the calculation:
ΔE_f: 349 meV per atom
DFT total energy: -3.82 eV per atom
E above lowest polymorph: 0 meV/atom
density: 10.400 g/cm3

---

First-principles (PBE) data for an optimized crystal structure of SrHg2Ru, as listed in Alexandria via LeMat-Bulk. Values from VASP.

Geometry as Quantum ESPRESSO input:
```
&SYSTEM
  ibrav = 0, nat = 4, ntyp = 3
/
ATOMIC_SPECIES
Ru 101.07 Ru.upf
Hg 200.59 Hg.upf
Sr 87.62 Sr.upf
ATOMIC_POSITIONS crystal
Ru 0.750 0.250 0.500
Hg 0.541 0.541 0.000
Hg 0.959 0.959 0.000
Sr 0.250 0.750 0.500
CELL_PARAMETERS angstrom
5.986 -0.007 -0.004
2.700 5.343 0.004
-3.809 -3.537 2.969
```

Values from the calculation:
ΔE_f: 173 meV per atom
DFT total energy: -2.72 eV per atom
E above lowest polymorph: 52 meV/atom
density: 10.304 g/cm3

---

First-principles (PBE) data for an optimized crystal structure of SrHg2Ru, as listed in Alexandria via LeMat-Bulk. Values from VASP.

Geometry as Quantum ESPRESSO input:
```
&SYSTEM
  ibrav = 0, nat = 4, ntyp = 3
/
ATOMIC_SPECIES
Hg 200.59 Hg.upf
Ru 101.07 Ru.upf
Sr 87.62 Sr.upf
ATOMIC_POSITIONS crystal
Hg 0.500 0.250 0.278
Hg 0.000 0.250 0.984
Ru 0.000 0.250 0.507
Sr 0.500 0.750 0.731
CELL_PARAMETERS angstrom
-3.890 2.560 -0.759
-2.029 -2.349 2.475
1.382 3.388 4.350
```

Values from the calculation:
ΔE_f: 220 meV per atom
DFT total energy: -2.67 eV per atom
E above lowest polymorph: 99 meV/atom
density: 9.200 g/cm3

---

First-principles (PBE) data for an optimized crystal structure of SrHg2Ru, as listed in Alexandria via LeMat-Bulk. Values from VASP.

Geometry as Quantum ESPRESSO input:
```
&SYSTEM
  ibrav = 0, nat = 4, ntyp = 3
/
ATOMIC_SPECIES
Sr 87.62 Sr.upf
Hg 200.59 Hg.upf
Ru 101.07 Ru.upf
ATOMIC_POSITIONS crystal
Sr 0.000 0.000 0.000
Hg 0.250 0.250 0.250
Hg 0.750 0.750 0.750
Ru 0.500 0.500 0.500
CELL_PARAMETERS angstrom
0.000 3.587 3.587
3.587 0.000 3.587
3.587 3.587 0.000
```

Values from the calculation:
ΔE_f: 229 meV per atom
DFT total energy: -2.66 eV per atom
E above lowest polymorph: 108 meV/atom
density: 10.613 g/cm3

---

First-principles (PBE) data for an optimized crystal structure of SrHg2Ru, as listed in Alexandria via LeMat-Bulk. Values from VASP.

Geometry as Quantum ESPRESSO input:
```
&SYSTEM
  ibrav = 0, nat = 4, ntyp = 3
/
ATOMIC_SPECIES
Sr 87.62 Sr.upf
Hg 200.59 Hg.upf
Ru 101.07 Ru.upf
ATOMIC_POSITIONS crystal
Sr 0.750 0.250 0.500
Hg 0.500 0.500 0.000
Hg 0.000 0.000 0.000
Ru 0.250 0.750 0.500
CELL_PARAMETERS angstrom
5.379 -0.029 0.000
1.480 5.172 0.000
-3.430 -2.571 3.250
```

Values from the calculation:
ΔE_f: 218 meV per atom
DFT total energy: -2.67 eV per atom
E above lowest polymorph: 98 meV/atom
density: 10.817 g/cm3

---

First-principles (PBE) data for an optimized crystal structure of SrHg2Ru2, as listed in Alexandria via LeMat-Bulk. Values from VASP.

Geometry as Quantum ESPRESSO input:
```
&SYSTEM
  ibrav = 0, nat = 10, ntyp = 3
/
ATOMIC_SPECIES
Ru 101.07 Ru.upf
Hg 200.59 Hg.upf
Sr 87.62 Sr.upf
ATOMIC_POSITIONS crystal
Ru 0.896 0.396 0.500
Ru 0.604 0.896 0.500
Ru 0.104 0.604 0.500
Ru 0.396 0.104 0.500
Hg 0.316 0.816 0.000
Hg 0.816 0.684 0.000
Hg 0.684 0.184 0.000
Hg 0.184 0.316 0.000
Sr 0.500 0.500 0.000
Sr 0.000 0.000 0.000
CELL_PARAMETERS angstrom
8.301 0.000 0.000
0.000 8.301 0.000
0.000 0.000 3.048
```

Values from the calculation:
ΔE_f: 433 meV per atom
DFT total energy: -3.73 eV per atom
E above lowest polymorph: 84 meV/atom
density: 10.925 g/cm3

---

First-principles (PBE) data for an optimized crystal structure of Sr3HgRu, as listed in Alexandria via LeMat-Bulk. Values from VASP.

Geometry as Quantum ESPRESSO input:
```
&SYSTEM
  ibrav = 0, nat = 5, ntyp = 3
/
ATOMIC_SPECIES
Hg 200.59 Hg.upf
Sr 87.62 Sr.upf
Ru 101.07 Ru.upf
ATOMIC_POSITIONS crystal
Hg 0.500 0.500 0.500
Sr 0.500 0.000 0.000
Sr 0.000 0.500 0.000
Sr 0.000 0.000 0.500
Ru 0.000 0.000 0.000
CELL_PARAMETERS angstrom
5.703 0.000 0.000
0.000 5.703 0.000
0.000 0.000 5.703
```

Values from the calculation:
ΔE_f: 125 meV per atom
DFT total energy: -2.80 eV per atom
E above lowest polymorph: 0 meV/atom
density: 5.054 g/cm3

---

First-principles (PBE) data for an optimized crystal structure of SrHg2Ru, as listed in Alexandria via LeMat-Bulk. Values from VASP.

Geometry as Quantum ESPRESSO input:
```
&SYSTEM
  ibrav = 0, nat = 4, ntyp = 3
/
ATOMIC_SPECIES
Hg 200.59 Hg.upf
Sr 87.62 Sr.upf
Ru 101.07 Ru.upf
ATOMIC_POSITIONS crystal
Hg 0.000 0.000 0.456
Hg 0.000 0.000 0.044
Sr 0.500 0.500 0.750
Ru 0.500 0.500 0.250
CELL_PARAMETERS angstrom
3.643 0.000 0.000
0.000 3.643 0.000
0.000 0.000 6.937
```

Values from the calculation:
ΔE_f: 185 meV per atom
DFT total energy: -2.71 eV per atom
E above lowest polymorph: 64 meV/atom
density: 10.639 g/cm3

---

First-principles (PBE) data for an optimized crystal structure of SrHg2Ru, as listed in Alexandria via LeMat-Bulk. Values from VASP.

Geometry as Quantum ESPRESSO input:
```
&SYSTEM
  ibrav = 0, nat = 4, ntyp = 3
/
ATOMIC_SPECIES
Ru 101.07 Ru.upf
Sr 87.62 Sr.upf
Hg 200.59 Hg.upf
ATOMIC_POSITIONS crystal
Ru 0.000 0.000 0.432
Sr 0.500 0.500 0.729
Hg 0.500 0.500 0.299
Hg 0.000 0.000 0.041
CELL_PARAMETERS angstrom
-1.713 -2.715 -1.829
3.221 -1.757 -0.410
-1.111 -3.487 6.218
```

Values from the calculation:
ΔE_f: 198 meV per atom
DFT total energy: -2.69 eV per atom
E above lowest polymorph: 77 meV/atom
density: 9.954 g/cm3

---

First-principles (PBE) data for an optimized crystal structure of SrHg2Ru, as listed in Alexandria via LeMat-Bulk. Values from VASP.

Geometry as Quantum ESPRESSO input:
```
&SYSTEM
  ibrav = 0, nat = 4, ntyp = 3
/
ATOMIC_SPECIES
Sr 87.62 Sr.upf
Hg 200.59 Hg.upf
Ru 101.07 Ru.upf
ATOMIC_POSITIONS crystal
Sr 0.242 0.242 0.273
Hg 0.789 0.789 0.632
Hg 0.037 0.037 0.889
Ru 0.431 0.431 0.706
CELL_PARAMETERS angstrom
-1.298 -3.977 2.150
3.266 -2.998 1.572
0.711 0.277 6.088
```

Values from the calculation:
ΔE_f: 121 meV per atom
DFT total energy: -2.77 eV per atom
E above lowest polymorph: 0 meV/atom
density: 9.294 g/cm3

---

First-principles (PBE) data for an optimized crystal structure of SrHg2Ru, as listed in Alexandria via LeMat-Bulk. Values from VASP.

Geometry as Quantum ESPRESSO input:
```
&SYSTEM
  ibrav = 0, nat = 8, ntyp = 3
/
ATOMIC_SPECIES
Ru 101.07 Ru.upf
Sr 87.62 Sr.upf
Hg 200.59 Hg.upf
ATOMIC_POSITIONS crystal
Ru 0.000 0.000 0.000
Ru 0.750 0.250 0.500
Sr 0.250 0.750 0.500
Sr 0.500 0.500 0.000
Hg 0.738 0.125 0.250
Hg 0.012 0.625 0.250
Hg 0.875 0.988 0.750
Hg 0.375 0.262 0.750
CELL_PARAMETERS angstrom
-2.072 -3.571 2.751
2.508 -3.429 -2.562
7.308 -2.893 6.222
```

Values from the calculation:
ΔE_f: 343 meV per atom
DFT total energy: -2.55 eV per atom
E above lowest polymorph: 223 meV/atom
density: 8.475 g/cm3

---

First-principles (PBE) data for an optimized crystal structure of SrTcHg2Ru, as listed in Alexandria via LeMat-Bulk. Values from VASP.

Geometry as Quantum ESPRESSO input:
```
&SYSTEM
  ibrav = 0, nat = 5, ntyp = 4
/
ATOMIC_SPECIES
Sr 87.62 Sr.upf
Tc 98.00 Tc.upf
Hg 200.59 Hg.upf
Ru 101.07 Ru.upf
ATOMIC_POSITIONS crystal
Sr 0.000 0.500 0.000
Tc 0.500 0.500 0.500
Hg 0.000 0.000 0.500
Hg 0.500 0.000 0.000
Ru 0.000 0.000 0.000
CELL_PARAMETERS angstrom
5.263 0.000 0.000
0.000 5.315 0.000
0.000 0.000 5.263
```

Values from the calculation:
ΔE_f: 1187 meV per atom
DFT total energy: -3.20 eV per atom
density: 7.759 g/cm3